## KMnBe2I8 (PBE)

Data for crystalline KMnBe2I8 at its relaxed geometry.

Cell: 6.9664 6.9664 31.8755 Å, 90.00 90.00 120.00°
With the nearest neighbours (Å) after each atom.
Space group R-3 (No. 148, hexagonal axes)
One atom of each set of equivalent atoms:
K  0.0000  0.0000  0.0000 [3 per cell]  12 I 4.06-4.34
Mn  0.0000  0.0000  0.5000 [3 per cell]  6 I 2.82
Be  0.0000  0.0000  0.2416 [6 per cell]  4 I 2.37-2.44
I  0.0000  0.0000  0.3161 [6 per cell]  1 Be 2.37
I  0.0028  0.3271  0.4475 [18 per cell]  1 Be 2.44

Properties
formation energy from raw total energies	-0.558	eV per atom
crystal system	trigonal
final energy	-3.07	eV/atom